# 1
DyPaRh4 | Alexandria | GGA-PBE | relaxed; space-group type = F-43m, No. 216; energy relative to the elements = -688 meV per atom; crystal system = cubic; ΔE to the lowest computed polymorph = 106 meV per atom
1.0
5.328 0.000 0.000
2.664 4.615 0.000
2.664 1.538 4.351
Pa Rh Dy
1 4 1
direct
0.250 0.250 0.250
0.625 0.625 0.124
0.625 0.124 0.625
0.625 0.625 0.625
0.124 0.625 0.625
0.000 0.000 0.000

# 2
Dy2PaRh2 | Alexandria | GGA-PBE | relaxed; space-group type = C2/c, No. 15; energy relative to the elements = -723 meV per atom; crystal system = monoclinic
1.0
-0.663 4.542 4.381
-3.872 -0.593 4.992
4.742 -2.385 4.856
Dy Pa Rh
4 2 4
direct
0.455 0.238 0.148
0.762 0.545 0.352
0.545 0.762 0.852
0.238 0.455 0.648
0.089 0.911 0.250
0.911 0.089 0.750
0.732 0.963 0.522
0.037 0.268 0.978
0.268 0.037 0.478
0.963 0.732 0.022

# 3
DyPaRh2 | Alexandria | GGA-PBE | relaxed; space-group type = R-3m, No. 166; energy relative to the elements = -780 meV per atom; crystal system = trigonal; ΔE to the lowest computed polymorph = 97 meV per atom
1.0
-3.244 1.836 -1.148
-1.570 -0.805 -3.478
-5.374 -4.544 1.291
Pa Rh Dy
1 2 1
direct
0.000 0.000 0.000
0.257 0.257 0.230
0.743 0.743 0.770
0.500 0.500 0.500